A plane-wave DFT calculation with GGA-PBE was carried out for an optimized crystal structure of SiSbMo2.

a = 3.1752 Å, b = 3.1752 Å, c = 6.5509 Å
α = 90.00°, β = 90.00°, γ = 90.00°
Atoms (fractional coordinates):
Si (0.0000, 0.0000, 0.0000)
Sb (0.0000, 0.0000, 0.5000)
Mo (0.5000, 0.5000, 0.2093)
Mo (0.5000, 0.5000, 0.7907)

Output
energy = -7.73 eV/atom
polymorph energy (0 for the lowest one) = 0.53 eV/f.u.
uncorrected formation energy = 0.069 eV per atom